{"formula": "TaBeAs2", "functional": "PBE-GGA", "state": "optimized geometry", "e_form_ev_per_atom": 0.21, "final_energy_ev_per_atom": -6.01, "lattice": [[5.3169, 0.0072, 0.0000], [2.7390, 4.5571, 0.0000], [-4.0279, -2.2822, 2.6147]], "species": ["As", "As", "Be", "Ta"], "frac_coords": [[0.2500, 0.7500, 0.5000], [0.0000, 0.0000, 0.0000], [0.5000, 0.5000, 0.0000], [0.7500, 0.2500, 0.5000]]}

{"formula": "Nb2CrS6", "functional": "PBE-GGA", "state": "optimized geometry", "e_above_lowest_polymorph_kj_per_mol_fu": 108, "final_energy_ev_per_atom": -6.80, "e_form_raw_mev_per_atom": -742, "lattice": [[-2.2163, 4.7058, -2.7511], [-3.8218, -3.4591, -2.8379], [-6.8394, 1.2634, 7.6708]], "species": ["S", "S", "S", "S", "S", "S", "S", "S", "S", "S", "S", "S", "Nb", "Nb", "Nb", "Nb", "Cr", "Cr"], "frac_coords": [[0.1952, 0.8048, 0.8342], [0.6952, 0.6952, 0.3342], [0.3048, 0.3048, 0.3342], [0.2866, 0.2866, 0.0000], [0.7866, 0.2134, 0.5000], [0.8048, 0.1952, 0.1658], [0.1952, 0.8048, 0.1658], [0.2134, 0.7866, 0.5000], [0.6952, 0.6952, 0.6658], [0.8048, 0.1952, 0.8342], [0.3048, 0.3048, 0.6658], [0.7134, 0.7134, 0.0000], [0.0000, 0.0000, 0.3438], [0.0000, 0.0000, 0.6562], [0.5000, 0.5000, 0.8438], [0.5000, 0.5000, 0.1562], [0.0000, 0.0000, 0.0000], [0.5000, 0.5000, 0.5000]]}

{"formula": "Dy6ScTl", "functional": "PBE-GGA", "state": "optimized geometry", "e_above_lowest_polymorph_kj_per_mol_fu": 96, "e_form_ev_per_atom": 0.05, "final_energy_ev_per_atom": -4.49, "lattice": [[-4.1672, -4.2722, 2.7239], [6.3944, -0.2133, 1.4503], [-3.2015, 8.5437, 0.6786]], "species": ["Tl", "Dy", "Dy", "Dy", "Dy", "Dy", "Dy", "Sc"], "frac_coords": [[0.0000, 0.0000, 0.0000], [0.1673, 0.7409, 0.7470], [0.3184, 0.3184, 0.7472], [0.7409, 0.1673, 0.7470], [0.8327, 0.2591, 0.2530], [0.2591, 0.8327, 0.2530], [0.6816, 0.6816, 0.2528], [0.5000, 0.5000, 0.5000]]}